Er3Al3Hg PBE optimized geometry; M_tot = 0.0 μB/f.u.; ΔH_f (0 K) = -40 kJ/mol of atoms; raw total energy = -4.01 eV per atom
1.0
5.449 -2.250 0.000
5.449 2.250 0.000
-4.658 0.000 13.463
Er Al Hg
6 6 2
Direct
0.030 0.030 0.377
0.103 0.103 0.922
0.236 0.236 0.217
0.764 0.764 0.783
0.897 0.897 0.078
0.970 0.970 0.623
0.374 0.374 0.455
0.390 0.390 0.927
0.475 0.475 0.773
0.525 0.525 0.227
0.610 0.610 0.073
0.626 0.626 0.545
0.256 0.256 0.612
0.744 0.744 0.388